# 1
Here is a geometry-optimized Ba2ZnSn2 structure from Alexandria. Energies are from PBE.

Computed properties:
- distance to the lowest polymorph of the same formula (eV per atom) = 0.338
- size of the total moment (μB per atom) = 0.00
- ΔE_f (eV per atom) = -0.204
- SG = No. 139

a = 4.284 Å, b = 4.284 Å, c = 20.323 Å
α = 90.00°, β = 90.00°, γ = 90.00°
Atoms (fractional coordinates):
Ba 0.000 0.000 0.100
Ba 0.000 0.000 0.900
Ba 0.500 0.500 0.400
Ba 0.500 0.500 0.600
Zn 0.000 0.000 0.500
Zn 0.500 0.500 0.000
Sn 0.000 0.500 0.250
Sn 0.000 0.500 0.750
Sn 0.500 0.000 0.250
Sn 0.500 0.000 0.750

# 2
Here is a geometry-optimized BaZn2Sn8 structure from Alexandria. Energies are from PBE.

Computed properties:
- size of the total moment (μB per atom) = 0.00
- ΔE_f (eV per atom) = 0.014
- SG = No. 123

a = 6.263 Å, b = 6.263 Å, c = 9.454 Å
α = 90.00°, β = 90.00°, γ = 90.00°
Atoms (fractional coordinates):
Ba 0.000 0.000 0.000
Zn 0.000 0.500 0.500
Zn 0.500 0.000 0.500
Sn 0.254 0.254 0.304
Sn 0.254 0.254 0.696
Sn 0.254 0.746 0.304
Sn 0.254 0.746 0.696
Sn 0.746 0.254 0.304
Sn 0.746 0.254 0.696
Sn 0.746 0.746 0.304
Sn 0.746 0.746 0.696

# 3
Here is a geometry-optimized BaZn2Sn2 structure from Alexandria. Energies are from PBE.

Computed properties:
- size of the total moment (μB per atom) = 0.00
- ΔE_f (eV per atom) = -0.164
- SG = No. 127

a = 8.540 Å, b = 8.540 Å, c = 3.561 Å
α = 90.00°, β = 90.00°, γ = 90.00°
Atoms (fractional coordinates):
Ba 0.000 0.000 0.000
Ba 0.500 0.500 0.000
Zn 0.117 0.383 0.000
Zn 0.383 0.883 0.000
Zn 0.617 0.117 0.000
Zn 0.883 0.617 0.000
Sn 0.166 0.666 0.500
Sn 0.334 0.166 0.500
Sn 0.666 0.834 0.500
Sn 0.834 0.334 0.500

# 4
Here is a geometry-optimized Ba2Zn3Sn5 structure from Alexandria. Energies are from PBE.

Computed properties:
- distance to the lowest polymorph of the same formula (eV per atom) = 0.088
- size of the total moment (μB per atom) = 0.00
- ΔE_f (eV per atom) = -0.297
- SG = No. 115

a = 5.102 Å, b = 5.102 Å, c = 11.023 Å
α = 90.00°, β = 90.00°, γ = 90.00°
Atoms (fractional coordinates):
Ba 0.000 0.500 0.234
Ba 0.500 0.000 0.766
Zn 0.000 0.000 0.000
Zn 0.000 0.500 0.895
Zn 0.500 0.000 0.105
Sn 0.000 0.000 0.500
Sn 0.000 0.500 0.648
Sn 0.500 0.000 0.352
Sn 0.500 0.500 0.000
Sn 0.500 0.500 0.500

# 5
Here is a geometry-optimized BaZn2Sn3 structure from Alexandria. Energies are from PBE.

Computed properties:
- size of the total moment (μB per atom) = 0.00
- ΔE_f (eV per atom) = -0.229
- SG = No. 191

a = 6.497 Å, b = 6.497 Å, c = 4.528 Å
α = 90.00°, β = 90.00°, γ = 120.00°
Atoms (fractional coordinates):
Ba 0.000 0.000 0.000
Zn 0.333 0.667 0.000
Zn 0.667 0.333 0.000
Sn 0.000 0.500 0.500
Sn 0.500 0.000 0.500
Sn 0.500 0.500 0.500

# 6
Here is a geometry-optimized Ba2Zn5Sn3 structure from Alexandria. Energies are from PBE.

Computed properties:
- distance to the lowest polymorph of the same formula (eV per atom) = 0.000
- size of the total moment (μB per atom) = 0.00
- ΔE_f (eV per atom) = -0.372
- SG = No. 72

a = 9.373 Å, b = 9.373 Å, c = 9.373 Å
α = 105.89°, β = 88.94°, γ = 138.13°
Atoms (fractional coordinates):
Ba 0.124 0.246 0.370
Ba 0.376 0.746 0.122
Ba 0.624 0.254 0.878
Ba 0.876 0.754 0.630
Zn 0.009 0.750 0.259
Zn 0.133 0.629 0.761
Zn 0.250 0.250 0.000
Zn 0.367 0.129 0.496
Zn 0.491 0.750 0.741
Zn 0.509 0.250 0.259
Zn 0.633 0.871 0.504
Zn 0.750 0.750 0.000
Zn 0.867 0.371 0.239
Zn 0.991 0.250 0.741
Sn 0.130 0.873 0.002
Sn 0.250 0.750 0.500
Sn 0.370 0.373 0.743
Sn 0.630 0.627 0.257
Sn 0.750 0.250 0.500
Sn 0.870 0.127 0.998

# 7
Here is a geometry-optimized Ba2ZnSn2 structure from Alexandria. Energies are from PBE.

Computed properties:
- distance to the lowest polymorph of the same formula (eV per atom) = 0.361
- size of the total moment (μB per atom) = 0.00
- ΔE_f (eV per atom) = -0.181
- SG = No. 139

a = 6.925 Å, b = 6.925 Å, c = 8.422 Å
α = 90.00°, β = 90.00°, γ = 90.00°
Atoms (fractional coordinates):
Ba 0.000 0.500 0.250
Ba 0.000 0.500 0.750
Ba 0.500 0.000 0.250
Ba 0.500 0.000 0.750
Zn 0.000 0.000 0.000
Zn 0.500 0.500 0.500
Sn 0.000 0.000 0.327
Sn 0.000 0.000 0.673
Sn 0.500 0.500 0.173
Sn 0.500 0.500 0.827

# 8
Here is a geometry-optimized BaZnSn2 structure from Alexandria. Energies are from PBE.

Computed properties:
- size of the total moment (μB per atom) = 0.00
- ΔE_f (eV per atom) = -0.212
- SG = No. 122

a = 5.504 Å, b = 5.504 Å, c = 18.654 Å
α = 90.00°, β = 90.00°, γ = 90.00°
Atoms (fractional coordinates):
Ba 0.000 0.000 0.000
Ba 0.000 0.500 0.250
Ba 0.500 0.000 0.750
Ba 0.500 0.500 0.500
Zn 0.000 0.000 0.500
Zn 0.000 0.500 0.750
Zn 0.500 0.000 0.250
Zn 0.500 0.500 0.000
Sn 0.108 0.250 0.625
Sn 0.250 0.608 0.875
Sn 0.250 0.892 0.375
Sn 0.392 0.250 0.125
Sn 0.608 0.750 0.125
Sn 0.750 0.108 0.375
Sn 0.750 0.392 0.875
Sn 0.892 0.750 0.625

# 9
Here is a geometry-optimized BaZn3Sn2 structure from Alexandria. Energies are from PBE.

Computed properties:
- distance to the lowest polymorph of the same formula (eV per atom) = 0.002
- size of the total moment (μB per atom) = 0.00
- ΔE_f (eV per atom) = -0.247
- SG = No. 12

a = 8.797 Å, b = 8.797 Å, c = 8.051 Å
α = 112.06°, β = 112.06°, γ = 32.40°
Atoms (fractional coordinates):
Ba 0.151 0.151 0.096
Ba 0.849 0.849 0.904
Zn 0.014 0.014 0.355
Zn 0.316 0.316 0.547
Zn 0.369 0.369 0.249
Zn 0.631 0.631 0.751
Zn 0.684 0.684 0.453
Zn 0.986 0.986 0.645
Sn 0.177 0.177 0.652
Sn 0.483 0.483 0.806
Sn 0.517 0.517 0.194
Sn 0.823 0.823 0.348

# 10
Here is a geometry-optimized BaZnSn3 structure from Alexandria. Energies are from PBE.

Computed properties:
- size of the total moment (μB per atom) = 0.00
- ΔE_f (eV per atom) = 1.059
- SG = No. 221

a = 6.333 Å, b = 6.333 Å, c = 6.333 Å
α = 90.00°, β = 90.00°, γ = 90.00°
Atoms (fractional coordinates):
Ba 0.000 0.000 0.000
Zn 0.500 0.500 0.500
Sn 0.000 0.000 0.500
Sn 0.000 0.500 0.000
Sn 0.500 0.000 0.000

# 11
Here is a geometry-optimized BaZnSn2 structure from Alexandria. Energies are from PBE.

Computed properties:
- size of the total moment (μB per atom) = 0.00
- ΔE_f (eV per atom) = -0.469
- SG = No. 63

a = 4.985 Å, b = 19.719 Å, c = 4.825 Å
α = 90.00°, β = 90.00°, γ = 90.00°
Atoms (fractional coordinates):
Ba 0.000 0.104 0.250
Ba 0.000 0.896 0.750
Ba 0.500 0.396 0.750
Ba 0.500 0.604 0.250
Zn 0.000 0.324 0.250
Zn 0.000 0.676 0.750
Zn 0.500 0.176 0.750
Zn 0.500 0.824 0.250
Sn 0.000 0.250 0.750
Sn 0.000 0.460 0.250
Sn 0.000 0.540 0.750
Sn 0.000 0.750 0.250
Sn 0.500 0.040 0.750
Sn 0.500 0.250 0.250
Sn 0.500 0.750 0.750
Sn 0.500 0.960 0.250

# 12
Here is a geometry-optimized Ba8ZnSn2 structure from Alexandria. Energies are from PBE.

Computed properties:
- size of the total moment (μB per atom) = 0.00
- ΔE_f (eV per atom) = -0.318
- SG = No. 12

a = 11.310 Å, b = 11.310 Å, c = 8.106 Å
α = 104.76°, β = 104.76°, γ = 30.32°
Atoms (fractional coordinates):
Ba 0.030 0.030 0.292
Ba 0.209 0.209 0.803
Ba 0.341 0.341 0.543
Ba 0.406 0.406 0.060
Ba 0.594 0.594 0.940
Ba 0.659 0.659 0.457
Ba 0.791 0.791 0.197
Ba 0.970 0.970 0.708
Zn 0.500 0.500 0.500
Sn 0.189 0.189 0.222
Sn 0.811 0.811 0.778

# 13
Here is a geometry-optimized Ba2Zn3Sn structure from Alexandria. Energies are from PBE.

Computed properties:
- size of the total moment (μB per atom) = 0.00
- ΔE_f (eV per atom) = -0.341
- SG = No. 69

a = 9.439 Å, b = 9.403 Å, c = 6.751 Å
α = 69.29°, β = 68.72°, γ = 41.99°
Atoms (fractional coordinates):
Ba 0.233 0.767 0.233
Ba 0.250 0.250 0.250
Ba 0.750 0.750 0.750
Ba 0.767 0.233 0.767
Zn 0.165 0.165 0.835
Zn 0.168 0.670 0.832
Zn 0.330 0.832 0.670
Zn 0.670 0.168 0.330
Zn 0.832 0.330 0.168
Zn 0.835 0.835 0.165
Sn 0.336 0.336 0.664
Sn 0.664 0.664 0.336

# 14
Here is a geometry-optimized Ba2Zn5Sn3 structure from Alexandria. Energies are from PBE.

Computed properties:
- distance to the lowest polymorph of the same formula (eV per atom) = 0.104
- size of the total moment (μB per atom) = 0.00
- ΔE_f (eV per atom) = -0.268
- SG = No. 115

a = 4.809 Å, b = 4.809 Å, c = 11.229 Å
α = 90.00°, β = 90.00°, γ = 90.00°
Atoms (fractional coordinates):
Ba 0.000 0.500 0.233
Ba 0.500 0.000 0.767
Zn 0.000 0.000 0.000
Zn 0.000 0.000 0.500
Zn 0.000 0.500 0.901
Zn 0.500 0.000 0.099
Zn 0.500 0.500 0.000
Sn 0.000 0.500 0.652
Sn 0.500 0.000 0.348
Sn 0.500 0.500 0.500

# 15
Here is a geometry-optimized Ba2Zn3Sn5 structure from Alexandria. Energies are from PBE.

Computed properties:
- distance to the lowest polymorph of the same formula (eV per atom) = 0.000
- size of the total moment (μB per atom) = 0.00
- ΔE_f (eV per atom) = -0.384
- SG = No. 72

a = 9.694 Å, b = 9.694 Å, c = 9.694 Å
α = 109.54°, β = 85.98°, γ = 137.36°
Atoms (fractional coordinates):
Ba 0.125 0.241 0.367
Ba 0.375 0.741 0.116
Ba 0.625 0.259 0.884
Ba 0.875 0.759 0.633
Zn 0.122 0.629 0.751
Zn 0.250 0.250 0.000
Zn 0.378 0.129 0.507
Zn 0.622 0.871 0.493
Zn 0.750 0.750 0.000
Zn 0.878 0.371 0.249
Sn 0.010 0.750 0.260
Sn 0.115 0.871 0.986
Sn 0.250 0.750 0.500
Sn 0.385 0.371 0.755
Sn 0.490 0.750 0.740
Sn 0.510 0.250 0.260
Sn 0.615 0.629 0.245
Sn 0.750 0.250 0.500
Sn 0.885 0.129 0.014
Sn 0.990 0.250 0.740

# 16
Here is a geometry-optimized Ba3Zn2Sn2 structure from Alexandria. Energies are from PBE.

Computed properties:
- size of the total moment (μB per atom) = 0.00
- ΔE_f (eV per atom) = -0.453
- SG = No. 12

a = 12.667 Å, b = 5.137 Å, c = 8.233 Å
α = 90.00°, β = 111.61°, γ = 90.00°
Atoms (fractional coordinates):
Ba 0.000 0.000 0.000
Ba 0.175 0.000 0.635
Ba 0.325 0.500 0.365
Ba 0.500 0.500 0.000
Ba 0.675 0.500 0.635
Ba 0.825 0.000 0.365
Zn 0.198 0.500 0.931
Zn 0.302 0.000 0.069
Zn 0.698 0.000 0.931
Zn 0.802 0.500 0.069
Sn 0.023 0.500 0.331
Sn 0.477 0.000 0.669
Sn 0.523 0.000 0.331
Sn 0.977 0.500 0.669

# 17
Here is a geometry-optimized BaZnSn2 structure from Alexandria. Energies are from PBE.

Computed properties:
- size of the total moment (μB per atom) = 0.00
- ΔE_f (eV per atom) = -0.322
- SG = No. 166

a = 4.722 Å, b = 4.722 Å, c = 19.014 Å
α = 90.00°, β = 90.00°, γ = 120.00°
Atoms (fractional coordinates):
Ba 0.000 0.000 0.000
Ba 0.333 0.667 0.667
Ba 0.667 0.333 0.333
Zn 0.000 0.000 0.500
Zn 0.333 0.667 0.167
Zn 0.667 0.333 0.833
Sn 0.000 0.000 0.214
Sn 0.000 0.000 0.786
Sn 0.333 0.667 0.453
Sn 0.333 0.667 0.881
Sn 0.667 0.333 0.119
Sn 0.667 0.333 0.547

# 18
Here is a geometry-optimized BaZn2Sn2 structure from Alexandria. Energies are from PBE.

Computed properties:
- size of the total moment (μB per atom) = 0.00
- ΔE_f (eV per atom) = -0.414
- SG = No. 129

a = 4.819 Å, b = 4.819 Å, c = 11.348 Å
α = 90.00°, β = 90.00°, γ = 90.00°
Atoms (fractional coordinates):
Ba 0.250 0.250 0.240
Ba 0.750 0.750 0.760
Zn 0.250 0.250 0.635
Zn 0.250 0.750 0.000
Zn 0.750 0.250 0.000
Zn 0.750 0.750 0.365
Sn 0.250 0.250 0.874
Sn 0.250 0.750 0.500
Sn 0.750 0.250 0.500
Sn 0.750 0.750 0.126

# 19
Here is a geometry-optimized BaZn4Sn12 structure from Alexandria. Energies are from PBE.

Computed properties:
- size of the total moment (μB per atom) = 0.00
- ΔE_f (eV per atom) = -0.039
- SG = No. 204

a = 8.437 Å, b = 8.437 Å, c = 8.437 Å
α = 109.47°, β = 109.47°, γ = 109.47°
Atoms (fractional coordinates):
Ba 0.000 0.000 0.000
Zn 0.000 0.000 0.500
Zn 0.000 0.500 0.000
Zn 0.500 0.000 0.000
Zn 0.500 0.500 0.500
Sn 0.158 0.509 0.351
Sn 0.158 0.807 0.649
Sn 0.193 0.351 0.842
Sn 0.351 0.158 0.509
Sn 0.351 0.842 0.193
Sn 0.491 0.649 0.842
Sn 0.509 0.351 0.158
Sn 0.649 0.158 0.807
Sn 0.649 0.842 0.491
Sn 0.807 0.649 0.158
Sn 0.842 0.193 0.351
Sn 0.842 0.491 0.649

# 20
Here is a geometry-optimized Ba2ZnSn2 structure from Alexandria. Energies are from PBE.

Computed properties:
- distance to the lowest polymorph of the same formula (eV per atom) = 0.150
- size of the total moment (μB per atom) = 0.00
- ΔE_f (eV per atom) = -0.392
- SG = No. 127

a = 7.985 Å, b = 7.985 Å, c = 5.453 Å
α = 90.00°, β = 90.00°, γ = 90.00°
Atoms (fractional coordinates):
Ba 0.166 0.334 0.000
Ba 0.334 0.834 0.000
Ba 0.666 0.166 0.000
Ba 0.834 0.666 0.000
Zn 0.000 0.000 0.500
Zn 0.500 0.500 0.500
Sn 0.137 0.637 0.500
Sn 0.363 0.137 0.500
Sn 0.637 0.863 0.500
Sn 0.863 0.363 0.500